## CaV2Ge2 (PBE)

Data for crystalline CaV2Ge2 at its relaxed geometry.

As for the total magnetic moment: 0.000 μB/atom. For the raw total energy, the calculation gives -60.37 eV/cell. For the formation energy, the calculation gives -0.142 eV per atom. Its volume is 16.69 Å³ per atom. The calculation puts the polymorph energy (0 for the lowest one) at 4.67 kcal/mol of atoms. As for the symmetry: P4/mbm (127).

Structure (POSCAR):
```
CaV2Ge2
1.0
7.7712 0.0000 0.0000
0.0000 7.7712 0.0000
0.0000 0.0000 2.7641
Ca V Ge
2 4 4
direct
0.0000 0.0000 0.0000
0.5000 0.5000 0.0000
0.1087 0.3913 0.0000
0.3913 0.8913 0.0000
0.6087 0.1087 0.0000
0.8913 0.6087 0.0000
0.1801 0.6801 0.5000
0.3199 0.1801 0.5000
0.6801 0.8199 0.5000
0.8199 0.3199 0.5000
```